# Pr5ThHg6 PBE optimized geometry
# Electronic total energy (eV/cell): -38.16
# E_form (eV/atom): -0.42
# Volume (Å³ per atom): 28.7
# Density of states at the Fermi level (states/eV per cell): 13.026
data_Pr5ThHg6
_chemical_formula_sum 'Pr5 Th1 Hg6'
_cell_length_a 5.4428
_cell_length_b 7.7377
_cell_length_c 8.6176
_cell_angle_alpha 90.00
_cell_angle_beta 108.36
_cell_angle_gamma 90.00
_symmetry_space_group_name_H-M 'P 1 2/m 1'
_symmetry_Int_Tables_number 10
loop_
_symmetry_equiv_pos_as_xyz
'x,y,z'
'-x,-y,-z'
'-x,y,-z'
'x,-y,z'
loop_
_atom_site_label
_atom_site_type_symbol
_atom_site_fract_x
_atom_site_fract_y
_atom_site_fract_z
Pr1 Pr 0.0000 0.0000 0.0000
Pr2 Pr 0.3327 0.0000 0.6655
Pr3 Pr 0.3343 0.5000 0.6686
Th1 Th 0.0000 0.5000 0.0000
Hg1 Hg 0.1660 0.2514 0.3320
Hg2 Hg 0.5000 0.2505 0.0000

# Pu3GeRu3 PBE optimized geometry
# Electronic total energy (eV/cell): -153.04
# E_form (eV/atom): -0.15
# Volume (Å³ per atom): 19.0
# Density of states at the Fermi level (states/eV per cell): 27.946
data_Pu3GeRu3
_chemical_formula_sum 'Pu6 Ge2 Ru6'
_cell_length_a 7.8630
_cell_length_b 7.8630
_cell_length_c 4.9710
_cell_angle_alpha 90.00
_cell_angle_beta 90.00
_cell_angle_gamma 120.00
_symmetry_space_group_name_H-M 'P 63/m'
_symmetry_Int_Tables_number 176
_symmetry_space_group_name_Hall '-P 6c'
loop_
_atom_site_label
_atom_site_type_symbol
_atom_site_fract_x
_atom_site_fract_y
_atom_site_fract_z
Pu1 Pu 0.1033 0.4376 0.2500
Ge1 Ge 0.3333 0.6667 0.7500
Ru1 Ru 0.0791 0.2396 0.7500

# YZn2Pt6 PBE optimized geometry
# Electronic total energy (eV/cell): -49.28
# E_form (eV/atom): -0.45
# Volume (Å³ per atom): 19.5
# Density of states at the Fermi level (states/eV per cell): 4.892
data_YZn2Pt6
_chemical_formula_sum 'Y1 Zn2 Pt6'
_cell_length_a 4.7328
_cell_length_b 4.7328
_cell_length_c 9.0457
_cell_angle_alpha 90.00
_cell_angle_beta 90.00
_cell_angle_gamma 120.00
_symmetry_space_group_name_H-M 'P -3 1 m'
_symmetry_Int_Tables_number 162
_symmetry_space_group_name_Hall '-P 3 2'
loop_
_atom_site_label
_atom_site_type_symbol
_atom_site_fract_x
_atom_site_fract_y
_atom_site_fract_z
Y1 Y 0.0000 0.0000 0.0000
Zn1 Zn 0.3333 0.6667 0.5000
Pt1 Pt 0.0000 0.3393 0.7374

# Ho4BiSb2Se PBE optimized geometry
# Electronic total energy (eV/cell): -43.49
# Volume (Å³ per atom): 28.6
# Formation energy (no corrections) (eV/atom): -1.196
# Density of states at the Fermi level (states/eV per cell): 1.508
data_Ho4BiSb2Se
_chemical_formula_sum 'Ho4 Bi1 Sb2 Se1'
_cell_length_a 7.4795
_cell_length_b 4.3264
_cell_length_c 7.4886
_cell_angle_alpha 90.00
_cell_angle_beta 109.42
_cell_angle_gamma 90.00
_symmetry_space_group_name_H-M 'P 1 2/m 1'
_symmetry_Int_Tables_number 10
loop_
_symmetry_equiv_pos_as_xyz
'x,y,z'
'-x,-y,-z'
'-x,y,-z'
'x,-y,z'
loop_
_atom_site_label
_atom_site_type_symbol
_atom_site_fract_x
_atom_site_fract_y
_atom_site_fract_z
Ho1 Ho 0.2483 0.0000 0.2430
Ho2 Ho 0.2518 0.5000 0.7561
Bi1 Bi 0.5000 0.5000 0.5000
Sb1 Sb 0.0000 0.0000 0.5000
Sb2 Sb 0.0000 0.5000 0.0000
Se1 Se 0.5000 0.0000 0.0000

# CsNa2HgS PBE optimized geometry
# Electronic total energy (eV/cell): -10.72
# Volume (Å³ per atom): 40.7
# Formation energy (no corrections) (eV/atom): -0.560
# Density of states at the Fermi level (states/eV per cell): 3.024
data_CsNa2HgS
_chemical_formula_sum 'Cs1 Na2 Hg1 S1'
_cell_length_a 5.4286
_cell_length_b 5.4286
_cell_length_c 6.9128
_cell_angle_alpha 90.00
_cell_angle_beta 90.00
_cell_angle_gamma 90.00
_symmetry_space_group_name_H-M 'P 4/m m m'
_symmetry_Int_Tables_number 123
_symmetry_space_group_name_Hall '-P 4 2'
loop_
_atom_site_label
_atom_site_type_symbol
_atom_site_fract_x
_atom_site_fract_y
_atom_site_fract_z
Cs1 Cs 0.0000 0.0000 0.0000
Na1 Na 0.0000 0.5000 0.5000
Hg1 Hg 0.5000 0.5000 0.0000
S1 S 0.0000 0.0000 0.5000

# NiOs4Ru PBE optimized geometry
# Electronic total energy (eV/cell): -219.06
# E_form (eV/atom): 0.87
# Volume (Å³ per atom): 15.4
# Density of states at the Fermi level (states/eV per cell): 42.660
data_NiOs4Ru
_chemical_formula_sum 'Ni4 Os16 Ru4'
_cell_length_a 7.1778
_cell_length_b 7.1778
_cell_length_c 7.1778
_cell_angle_alpha 90.00
_cell_angle_beta 90.00
_cell_angle_gamma 90.00
_symmetry_space_group_name_H-M 'F -4 3 m'
_symmetry_Int_Tables_number 216
_symmetry_space_group_name_Hall 'F -4 2 3'
loop_
_atom_site_label
_atom_site_type_symbol
_atom_site_fract_x
_atom_site_fract_y
_atom_site_fract_z
Ni1 Ni 0.0000 0.0000 0.0000
Os1 Os 0.1251 0.1251 0.6251
Ru1 Ru 0.2500 0.2500 0.2500